DFT (PBE) results for a relaxed SrY2Cu2 crystal.

Values from the calculation:
- polymorph energy (0 for the lowest one) (meV/atom) = 52
- E_form (eV per atom) = 0.017

Cell and atoms, written as CIF:
```
data_SrY2Cu2
_cell_length_a 8.568
_cell_length_b 8.568
_cell_length_c 3.356
_cell_angle_alpha 90.00
_cell_angle_beta 90.00
_cell_angle_gamma 90.00
_space_group_name_H-M_alt 'P 1'
_space_group_IT_number 1
loop_
_space_group_symop_operation_xyz
'x,y,z'
loop_
_atom_site_label
_atom_site_type_symbol
_atom_site_fract_x
_atom_site_fract_y
_atom_site_fract_z
Cu1 Cu 0.843 0.343 0.500
Sr1 Sr 0.000 0.000 0.000
Y1 Y 0.136 0.364 0.000
Y2 Y 0.636 0.136 0.000
Cu2 Cu 0.657 0.843 0.500
Cu3 Cu 0.343 0.157 0.500
Y3 Y 0.864 0.636 0.000
Y4 Y 0.364 0.864 0.000
Sr2 Sr 0.500 0.500 0.000
Cu4 Cu 0.157 0.657 0.500
```